# GGA-PBE TaFeGeTe2Pd, optimized geometry
data_TaFeGeTe2Pd
_symmetry_space_group_name_H-M 'P 1'
_symmetry_Int_Tables_number 1
_cell_length_a 3.869
_cell_length_b 4.931
_cell_length_c 7.965
_cell_angle_alpha 96.01
_cell_angle_beta 101.41
_cell_angle_gamma 112.97
loop_
_symmetry_equiv_pos_as_xyz
'x,y,z'
loop_
_atom_site_label
_atom_site_fract_x
_atom_site_fract_y
_atom_site_fract_z
Ta1 0.000 0.000 0.000
Fe1 0.691 0.361 0.962
Ge1 0.226 0.541 0.848
Te1 0.256 0.987 0.678
Te2 0.731 0.251 0.276
Pd1 0.413 0.644 0.178
# DFT total energy = -6.16 eV per atom
# magnetization = 0.000 μB/atom
# density of states at the Fermi level = 3.34 states/eV per cell
# E_form (uncorrected) = -0.095 eV/atom